This record from Alexandria via LeMat-Bulk describes a geometry-optimized SmSnSe2O structure. The functional is PBE.

extended XYZ file:
```
10
Lattice="3.955 0.000 0.000 0.000 3.955 0.000 0.000 0.000 15.431" Properties=species:S:1:pos:R:3 pbc="T T T"
Sm 0.989 0.989 1.192
Sm 2.966 2.966 14.238
Sn 0.989 0.989 10.071
Sn 2.966 2.966 5.360
Se 0.989 0.989 6.081
Se 0.989 0.989 12.641
Se 2.966 2.966 2.789
Se 2.966 2.966 9.349
O 0.989 2.966 0.000
O 2.966 0.989 0.000
```

## Properties
- ΔE_f (raw): -1.69 eV/atom